1.
A relaxed structure of Zn2InCu2. Source: Alexandria, functional PBE.

## Properties
- Density of states at the Fermi level: 1.40 states/eV/f.u.
- Energy relative to the elements: 0.036 eV per atom
- Total energy: -26.60 eV for the cell shown

Lattice parameters (Å, degrees): 7.5142 7.5142 2.7816 90.00 90.00 90.00
Last column: nearest neighbours and their distance in Å.
Space group P4/mbm (No. 127)
Inequivalent atoms, fractional coordinates:
Zn 0.1732 0.3268 0.0000 [4 per cell]  6 Cu 2.60-2.64, 2 Zn 2.78
In 0.0000 0.0000 0.5000 [2 per cell]  2 In 2.78, 4 Cu 2.99, 8 Zn 3.11
Cu 0.1201 0.6201 0.5000 [4 per cell]  3 Cu 2.55-2.78, 6 Zn 2.60-2.64

2.
A relaxed structure of Cd2NiRh. Source: Alexandria, functional PBE.

## Properties
- Density of states at the Fermi level: 4.70 states/eV/f.u.
- Energy relative to the elements: 0.056 eV per atom
- Total energy: -29.48 eV for the cell shown

Lattice parameters (Å, degrees): 4.0193 4.0193 8.0474 90.00 90.00 90.00
Last column: nearest neighbours and their distance in Å.
Space group I-4m2 (No. 119)
Inequivalent atoms, fractional coordinates:
Cd 0.0000 0.0000 0.0000 [2 per cell]  4 Rh 2.84, 4 Cd 2.84, 4 Ni 2.84
Cd 0.0000 0.5000 0.2500 [2 per cell]  4 Ni 2.84, 4 Cd 2.84, 4 Rh 2.84
Ni 0.0000 0.5000 0.7500 [2 per cell]  8 Cd 2.84, 4 Rh 2.84
Rh 0.0000 0.0000 0.5000 [2 per cell]  8 Cd 2.84, 4 Ni 2.84

3.
A relaxed structure of BaNdAs2. Source: Alexandria, functional PBE.

## Properties
- Density of states at the Fermi level: 3.86 states/eV/f.u.
- Energy relative to the elements: -1.135 eV per atom
- Total energy: -61.59 eV for the cell shown

Lattice parameters (Å, degrees): 4.4371 4.4371 22.7109 90.00 90.00 120.00
Last column: nearest neighbours and their distance in Å.
Space group R-3m (No. 166, hexagonal axes)
Inequivalent atoms, fractional coordinates:
Ba 0.0000 0.0000 0.0000 [3 per cell]  6 As 3.34
Nd 0.0000 0.0000 0.5000 [3 per cell]  6 As 3.04
As 0.0000 0.0000 0.2388 [6 per cell]  3 Nd 3.04, 3 Ba 3.34

4.
A relaxed structure of LiVCrPt2. Source: Alexandria, functional PBE.

## Properties
- Density of states at the Fermi level: 5.70 states/eV/f.u.
- Energy relative to the elements: 0.617 eV per atom
- Total energy: -29.65 eV for the cell shown

Lattice parameters (Å, degrees): 4.0940 4.0940 4.1066 90.00 90.00 90.00
Last column: nearest neighbours and their distance in Å.
Space group P4/mmm (No. 123)
Inequivalent atoms, fractional coordinates:
Li 0.0000 0.0000 0.0000 [1 per cell]  4 Pt 2.05, 2 Cr 2.05
V 0.5000 0.5000 0.5000 [1 per cell]  4 Cr 2.89, 8 Pt 2.90
Cr 0.0000 0.0000 0.5000 [1 per cell]  2 Li 2.05
Pt 0.0000 0.5000 0.0000 [2 per cell]  2 Li 2.05

5.
A relaxed structure of SrHoCd2In2. Source: Alexandria, functional PBE.

## Properties
- Density of states at the Fermi level: 2.97 states/eV/f.u.
- Energy relative to the elements: -0.398 eV per atom
- Total energy: -15.96 eV for the cell shown

Lattice parameters (Å, degrees): 4.9709 4.9709 7.8060 90.00 90.00 120.00
Last column: nearest neighbours and their distance in Å.
Space group P-3m1 (No. 164)
Inequivalent atoms, fractional coordinates:
Sr 0.0000 0.0000 0.0000 [1 per cell]  6 In 3.64, 6 Cd 3.67, 2 Ho 3.90
Ho 0.0000 0.0000 0.5000 [1 per cell]  6 Cd 3.30, 6 In 3.32
Cd 0.3333 0.6667 0.7076 [2 per cell]  3 In 2.87
In 0.3333 0.6667 0.2868 [2 per cell]  3 Cd 2.87

6.
A relaxed structure of InNiSe4. Source: Alexandria, functional PBE.

## Properties
- Density of states at the Fermi level: 8.15 states/eV/f.u.
- Formation energy without anion corrections: 0.6650 eV per atom
- Total energy: -73.87 eV for the cell shown

Lattice parameters (Å, degrees): 8.1470 8.1470 8.1470 90.00 90.00 90.00
Last column: nearest neighbours and their distance in Å.
Space group F-43m (No. 216)
Inequivalent atoms, fractional coordinates:
In 0.0000 0.0000 0.0000 [4 per cell]  12 Se 3.38, 4 Ni 3.53
Ni 0.2500 0.2500 0.7500 [4 per cell]  12 Se 3.38, 4 In 3.53
Se 0.1240 0.1240 0.3760 [16 per cell]  6 Se 2.86-2.90

7.
A relaxed structure of CrOs3. Source: Alexandria, functional PBE.

## Properties
- Density of states at the Fermi level: 2.42 states/eV/f.u.
- Energy relative to the elements: -0.020 eV per atom
- Total energy: -86.79 eV for the cell shown

Lattice parameters (Å, degrees): 4.2818 5.4447 4.7084 90.00 90.00 90.00
Last column: nearest neighbours and their distance in Å.
Space group Pmmn (No. 59, origin choice 2)
Inequivalent atoms, fractional coordinates:
Cr 0.2500 0.2500 0.1651 [2 per cell]  12 Os 2.64-2.74
Os 0.2500 0.5021 0.6699 [4 per cell]  4 Cr 2.65-2.74, 8 Os 2.66-2.75
Os 0.2500 0.7500 0.1614 [2 per cell]  4 Cr 2.64-2.72, 8 Os 2.66-2.75

8.
A relaxed structure of TaZn2Pt2. Source: Alexandria, functional PBE.

## Properties
- Density of states at the Fermi level: 2.33 states/eV/f.u.
- Energy relative to the elements: -0.381 eV per atom
- Total energy: -56.77 eV for the cell shown

Lattice parameters (Å, degrees): 7.4275 7.4275 2.7944 90.00 90.00 90.00
Last column: nearest neighbours and their distance in Å.
Space group P4/mbm (No. 127)
Inequivalent atoms, fractional coordinates:
Ta 0.0000 0.0000 0.0000 [2 per cell]  2 Ta 2.79, 4 Zn 2.97, 8 Pt 3.06
Zn 0.1186 0.3814 0.0000 [4 per cell]  1 Zn 2.49, 6 Pt 2.53-2.66
Pt 0.1801 0.6801 0.5000 [4 per cell]  6 Zn 2.53-2.66, 2 Pt 2.79